The following is a PBE with a Hubbard U calculation of Mg2V2Br2O5 after structural relaxation, from Alexandria via LeMat-Bulk.

```
Mg2V2Br2O5
1.0
-0.306 -3.105 -2.061
2.878 1.117 -2.110
7.080 -5.222 10.209
Mg V Br O
2 2 2 5
direct
0.373 0.373 0.747
0.627 0.627 0.253
0.067 0.067 0.135
0.933 0.933 0.865
0.183 0.183 0.366
0.817 0.817 0.634
0.000 0.000 0.000
0.585 0.085 0.170
0.915 0.415 0.830
0.085 0.585 0.170
0.415 0.915 0.830
```

- Fermi-level density of states (states/eV/f.u.) = 0.94
- volume (Å³/atom) = 16.80
- total moment (μB/f.u.) = 2.0
- total DFT energy (no corrections) (eV per atom) = -6.06